[1]
Ba2CrRu | PBE-GGA | optimized geometry

## Properties
DFT formation energy (eV per atom): 0.8465
Total magnetic moment (Bohr magnetons per cell): 5.1
Space-group type: Pmmm (47)
D(E_F) (states/eV per atom): 1.05
Electronic total energy (eV for the cell shown): -19.36

a = 3.710 Å, b = 3.756 Å, c = 8.914 Å
α = 90.00°, β = 90.00°, γ = 90.00°
Atoms (fractional coordinates):
Ba1 0.000 0.000 0.211
Ba2 0.000 0.000 0.789
Cr1 0.500 0.500 0.500
Ru1 0.500 0.500 0.000

=====

[2]
BaCrRu2 | PBE-GGA | optimized geometry

## Properties
DFT formation energy (eV per atom): 1.1384
Total magnetic moment (Bohr magnetons per cell): 1.2
Space-group type: F-43m (216)
D(E_F) (states/eV per atom): 1.47
Electronic total energy (eV for the cell shown): -25.54

a = 4.801 Å, b = 4.801 Å, c = 4.801 Å
α = 60.00°, β = 60.00°, γ = 60.00°
Atoms (fractional coordinates):
Ba1 0.000 0.000 0.000
Cr1 0.750 0.750 0.750
Ru1 0.250 0.250 0.250
Ru2 0.500 0.500 0.500

=====

[3]
BaCrRu2 | PBE-GGA | optimized geometry

## Properties
DFT formation energy (eV per atom): 1.2126
Total magnetic moment (Bohr magnetons per cell): 0.0
Space-group type: Fm-3m (225)
D(E_F) (states/eV per atom): 1.35
Electronic total energy (eV for the cell shown): -25.25

a = 4.682 Å, b = 4.682 Å, c = 4.682 Å
α = 60.00°, β = 60.00°, γ = 60.00°
Atoms (fractional coordinates):
Ba1 0.000 0.000 0.000
Cr1 0.500 0.500 0.500
Ru1 0.250 0.250 0.250
Ru2 0.750 0.750 0.750

=====

[4]
Ba2CrRu | PBE-GGA | optimized geometry

## Properties
DFT formation energy (eV per atom): 0.5612
Total magnetic moment (Bohr magnetons per cell): 2.8
Space-group type: P4mm (99)
D(E_F) (states/eV per atom): 1.35
Electronic total energy (eV for the cell shown): -20.50

a = 3.572 Å, b = 3.572 Å, c = 9.595 Å
α = 90.00°, β = 90.00°, γ = 90.00°
Atoms (fractional coordinates):
Ba1 0.000 0.000 0.000
Ba2 0.500 0.500 0.416
Cr1 0.000 0.000 0.674
Ru1 0.500 0.500 0.737

=====

[5]
BaCrRu2 | PBE-GGA | optimized geometry

## Properties
DFT formation energy (eV per atom): 0.5785
Total magnetic moment (Bohr magnetons per cell): 0.2
Space-group type: P4/mmm (123)
D(E_F) (states/eV per atom): 1.65
Electronic total energy (eV for the cell shown): -27.78

a = 3.079 Å, b = 3.079 Å, c = 7.900 Å
α = 90.00°, β = 90.00°, γ = 90.00°
Atoms (fractional coordinates):
Ba1 0.000 0.000 0.000
Cr1 0.000 0.000 0.500
Ru1 0.500 0.500 0.331
Ru2 0.500 0.500 0.669

=====

[6]
BaCrRu2 | PBE-GGA | optimized geometry

## Properties
DFT formation energy (eV per atom): 0.9197
Total magnetic moment (Bohr magnetons per cell): 0.7
Space-group type: Immm (71)
D(E_F) (states/eV per atom): 1.05
Electronic total energy (eV for the cell shown): -26.42

a = 5.603 Å, b = 5.603 Å, c = 5.603 Å
α = 147.40°, β = 118.96°, γ = 70.93°
Atoms (fractional coordinates):
Ba1 0.000 0.000 0.000
Cr1 0.500 0.500 0.000
Ru1 0.309 0.809 0.500
Ru2 0.691 0.191 0.500

=====

[7]
BaCrRu | PBE-GGA | optimized geometry

## Properties
DFT formation energy (eV per atom): 1.0660
Total magnetic moment (Bohr magnetons per cell): 3.9
Space-group type: F-43m (216)
D(E_F) (states/eV per atom): 1.51
Electronic total energy (eV for the cell shown): -17.62

a = 4.793 Å, b = 4.793 Å, c = 4.793 Å
α = 60.00°, β = 60.00°, γ = 60.00°
Atoms (fractional coordinates):
Ba1 0.000 0.000 0.000
Cr1 0.500 0.500 0.500
Ru1 0.250 0.250 0.250

=====

[8]
BaCrRu2 | PBE-GGA | optimized geometry

## Properties
DFT formation energy (eV per atom): 1.1494
Total magnetic moment (Bohr magnetons per cell): 2.1
Space-group type: P4/mmm (123)
D(E_F) (states/eV per atom): 1.86
Electronic total energy (eV for the cell shown): -25.50

a = 4.808 Å, b = 4.808 Å, c = 3.348 Å
α = 90.00°, β = 90.00°, γ = 90.00°
Atoms (fractional coordinates):
Ba1 0.000 0.000 0.000
Cr1 0.500 0.500 0.000
Ru1 0.000 0.500 0.500
Ru2 0.500 0.000 0.500

=====

[9]
Ba2CrRu | PBE-GGA | optimized geometry

## Properties
DFT formation energy (eV per atom): 1.0060
Total magnetic moment (Bohr magnetons per cell): 5.6
Space-group type: C2/m (12)
D(E_F) (states/eV per atom): 1.05
Electronic total energy (eV for the cell shown): -18.72

a = 4.536 Å, b = 4.536 Å, c = 9.132 Å
α = 96.65°, β = 96.65°, γ = 45.81°
Atoms (fractional coordinates):
Ba1 0.234 0.234 0.208
Ba2 0.766 0.766 0.792
Cr1 0.000 0.000 0.500
Ru1 0.500 0.500 0.000

=====

[10]
Ba2CrRu | PBE-GGA | optimized geometry

## Properties
DFT formation energy (eV per atom): 0.5955
Total magnetic moment (Bohr magnetons per cell): 2.5
Space-group type: Immm (71)
D(E_F) (states/eV per atom): 1.46
Electronic total energy (eV for the cell shown): -20.36

a = 9.888 Å, b = 9.888 Å, c = 9.888 Å
α = 159.45°, β = 158.07°, γ = 30.23°
Atoms (fractional coordinates):
Ba1 0.146 0.146 0.000
Ba2 0.854 0.854 0.000
Cr1 0.500 0.000 0.500
Ru1 0.000 0.500 0.500

=====

[11]
Ba2CrRu2 | PBE-GGA | optimized geometry

## Properties
DFT formation energy (eV per atom): 0.8851
Total magnetic moment (Bohr magnetons per cell): 1.9
Space-group type: I4/mmm (139)
D(E_F) (states/eV per atom): 1.38
Electronic total energy (eV for the cell shown): -27.60

a = 5.703 Å, b = 5.703 Å, c = 5.703 Å
α = 112.56°, β = 112.56°, γ = 103.46°
Atoms (fractional coordinates):
Ba1 0.250 0.750 0.500
Ba2 0.750 0.250 0.500
Cr1 0.000 0.000 0.000
Ru1 0.310 0.310 0.000
Ru2 0.690 0.690 0.000

=====

[12]
BaCrRu2 | PBE-GGA | optimized geometry

## Properties
DFT formation energy (eV per atom): 0.7310
Total magnetic moment (Bohr magnetons per cell): 2.6
Space-group type: Pm (6)
D(E_F) (states/eV per atom): 1.06
Electronic total energy (eV for the cell shown): -27.17

a = 3.065 Å, b = 4.291 Å, c = 6.685 Å
α = 90.00°, β = 100.95°, γ = 90.00°
Atoms (fractional coordinates):
Ba1 0.000 0.000 0.000
Cr1 0.747 0.500 0.383
Ru1 0.304 0.000 0.498
Ru2 0.374 0.500 0.682

=====

no.,offset from the most stable computed form (eV per atom)
1,0.5115
2,0.7275
3,0.8017
4,0.2261
5,0.1676
6,0.5088
7,0.5271
8,0.7385
9,0.6710
10,0.2605
11,0.2074
12,0.3201